# 1
Here is crystalline KOs at its relaxed geometry from Alexandria. Energies are from PBEsol.

Energy of formation from the pure elements, eV/atom: 1.3947
Calculated total energy, eV/atom: -5.280
Spin magnetization, μB per cell: 0.00

Cell: 2.6185 2.6185 5.5964 Å, 90.00 90.00 90.00°
Closest atoms and distances in Å follow each position.
Fractional positions:
K: 0.0000 0.0000 0.0000  4 K 2.62
Os: 0.5000 0.5000 0.5000  4 Os 2.62

# 2
Here is crystalline ZrZnCo3 at its relaxed geometry from Alexandria. Energies are from PBEsol.

Energy of formation from the pure elements, eV/atom: 0.7247
Calculated total energy, eV/atom: -6.052
Spin magnetization, μB per cell: 0.94

Cell: 4.1929 4.1929 4.1929 Å, 90.00 90.00 90.00°
Closest atoms and distances in Å follow each position.
Fractional positions:
Zr: 0.0000 0.0000 0.0000  12 Co 2.96
Zn: 0.5000 0.5000 0.5000  6 Co 2.10
Co: 0.0000 0.5000 0.5000  2 Zn 2.10
Co: 0.5000 0.0000 0.5000  2 Zn 2.10
Co: 0.5000 0.5000 0.0000  2 Zn 2.10

# 3
Here is crystalline Ta2AgMo at its relaxed geometry from Alexandria. Energies are from PBEsol.

E above lowest polymorph, eV/atom: 0.000
Energy of formation from the pure elements, eV/atom: 0.2393
Calculated total energy, eV/atom: -9.806
Spin magnetization, μB per cell: 0.00

Cell: 4.5605 4.5605 4.5605 Å, 60.00 60.00 60.00°
Closest atoms and distances in Å follow each position.
Fractional positions:
Ta: 0.2500 0.2500 0.2500  4 Mo 2.79, 4 Ag 2.79
Ta: 0.7500 0.7500 0.7500  4 Mo 2.79, 4 Ag 2.79
Ag: 0.0000 0.0000 0.0000  8 Ta 2.79
Mo: 0.5000 0.5000 0.5000  8 Ta 2.79

# 4
Here is crystalline LiMnPO4 at its relaxed geometry from Alexandria. Energies are from PBEsol.

E above lowest polymorph, eV/atom: 0.040
Calculated total energy, eV/atom: -7.535
Spin magnetization, μB per cell: 20.00

Cell: 5.0792 5.0792 15.8388 Å, 92.69 92.69 71.36°
Closest atoms and distances in Å follow each position.
Fractional positions:
Li: 0.2495 0.2501 0.2501  4 O 1.94-2.05
Li: 0.2501 0.2495 0.7501  4 O 1.94-2.05
Li: 0.7499 0.7505 0.2499  4 O 1.94-2.05
Li: 0.7505 0.7499 0.7499  4 O 1.94-2.05
Mn: 0.1028 0.6024 0.9154  3 O 2.00-2.02
Mn: 0.3976 0.8972 0.5846  3 O 2.00-2.02
Mn: 0.6024 0.1028 0.4154  3 O 2.00-2.02
Mn: 0.8972 0.3976 0.0846  3 O 2.00-2.02
P: 0.2364 0.7369 0.1312  4 O 1.54-1.56
P: 0.2631 0.7636 0.3688  4 O 1.54-1.56
P: 0.7369 0.2364 0.6312  4 O 1.54-1.56
P: 0.7636 0.2631 0.8688  4 O 1.54-1.56
O: 0.0551 0.1276 0.6462  1 P 1.54
O: 0.0927 0.5924 0.1900  1 P 1.55
O: 0.1276 0.0551 0.1462  1 P 1.54
O: 0.1521 0.6528 0.0407  1 P 1.56
O: 0.3472 0.8479 0.4593  1 P 1.56
O: 0.3709 0.4453 0.3540  1 P 1.54
O: 0.4076 0.9073 0.3100  1 P 1.55
O: 0.4453 0.3709 0.8540  1 P 1.54
O: 0.5547 0.6291 0.1460  1 P 1.54
O: 0.5924 0.0927 0.6900  1 P 1.55
O: 0.6291 0.5547 0.6460  1 P 1.54
O: 0.6528 0.1521 0.5407  1 P 1.56
O: 0.8479 0.3472 0.9593  1 P 1.56
O: 0.8724 0.9449 0.8538  1 P 1.54
O: 0.9073 0.4076 0.8100  1 P 1.55
O: 0.9449 0.8724 0.3538  1 P 1.54